Model one:
The following is a DFT calculation (PBE) of crystalline NaCa2Hg4 at its relaxed geometry.

Cell lengths 5.0736, 5.0736, 27.2737 Å; angles 90.00, 90.00, 120.00 degrees
Last column: nearest neighbours and their distance in Å.
Space group R-3m (No. 166, hexagonal axes)
One atom of each set of equivalent atoms:
1 Na 0.0000 0.0000 0.0000 [3 per cell]  6 Hg 3.11
2 Ca 0.0000 0.0000 0.2475 [6 per cell]  8 Hg 3.17-3.40
3 Hg 0.0000 0.0000 0.1311 [6 per cell]  4 Ca 3.17-3.18, 3 Hg 3.51
4 Hg 0.0000 0.0000 0.3721 [6 per cell]  3 Na 3.11, 4 Ca 3.20-3.40

Model two:
The following is a DFT calculation (PBE) of crystalline NaCa2Hg4 at its relaxed geometry.

Cell lengths 5.3801, 5.3801, 16.0032 Å; angles 90.00, 90.00, 90.00 degrees
Last column: nearest neighbours and their distance in Å.
Space group I4/mmm (No. 139)
One atom of each set of equivalent atoms:
1 Na 0.0000 0.0000 0.0000 [2 per cell]  6 Hg 2.69-2.99
2 Ca 0.0000 0.0000 0.3825 [4 per cell]  5 Hg 3.13-3.28
3 Hg 0.0000 0.0000 0.1868 [4 per cell]  1 Na 2.99, 1 Ca 3.13
4 Hg 0.0000 0.5000 0.0000 [4 per cell]  2 Na 2.69

The computed energies, referenced to the most stable structure and given in meV per atom, are model one 0; model two 162.

Model one:
The following is a DFT calculation (PBE) of crystalline Na12CaHg6 at its relaxed geometry.

Cell lengths 14.5737, 14.5737, 9.7209 Å; angles 90.00, 90.00, 120.00 degrees
Last column: nearest neighbours and their distance in Å.
Space group R-3 (No. 148, hexagonal axes)
One atom of each set of equivalent atoms:
1 Na 0.0458 0.2702 0.4190 [18 per cell]  3 Hg 3.18-3.33, 3 Na 3.30-3.48
2 Na 0.0688 0.2103 0.7684 [18 per cell]  3 Hg 3.12-3.18, 2 Na 3.30-3.37
3 Ca 0.0000 0.0000 0.5000 [3 per cell]  12 Na 3.73-3.76
4 Hg 0.0738 0.2298 0.0886 [18 per cell]  6 Na 3.12-3.33, 2 Hg 3.43

Model two:
The following is a DFT calculation (PBE) of crystalline Na12CaHg6 at its relaxed geometry.

Cell lengths 11.3829, 11.3829, 14.9912 Å; angles 90.00, 90.00, 120.00 degrees
Last column: nearest neighbours and their distance in Å.
Space group R-3 (No. 148, hexagonal axes)
One atom of each set of equivalent atoms:
1 Na 0.0428 0.1950 0.3027 [18 per cell]  4 Na 3.14-3.50, 2 Hg 3.15-3.50
2 Na 0.0572 0.8288 0.9166 [18 per cell]  4 Hg 3.19-3.39, 5 Na 3.43-3.55
3 Ca 0.0000 0.0000 0.5000 [3 per cell]  6 Hg 3.18
4 Hg 0.0313 0.4394 0.2126 [18 per cell]  7 Na 3.15-3.53, 1 Ca 3.18, 2 Hg 3.39

The computed energies, referenced to the most stable structure and given in meV per atom, are model one 83; model two 0.

Model one:
The following is a DFT calculation (PBE) of crystalline Na2CaHg6 at its relaxed geometry.

Cell lengths 3.5470, 8.6371, 15.3021 Å; angles 90.00, 90.00, 90.00 degrees
Last column: nearest neighbours and their distance in Å.
Space group Immm (No. 71)
One atom of each set of equivalent atoms:
1 Na 0.0000 0.0000 0.1454 [4 per cell]  10 Hg 3.14-3.36
2 Ca 0.0000 0.5000 0.0000 [2 per cell]  12 Hg 3.34-3.54, 2 Ca 3.55
3 Hg 0.0000 0.1741 0.3254 [8 per cell]  4 Hg 2.98-3.19, 1 Na 3.14
4 Hg 0.0000 0.3275 0.5000 [4 per cell]  3 Hg 2.98, 4 Na 3.21

Model two:
The following is a DFT calculation (PBE) of crystalline Na2CaHg6 at its relaxed geometry.

Cell lengths 8.7736, 8.7736, 3.4877 Å; angles 90.00, 90.00, 120.00 degrees
Last column: nearest neighbours and their distance in Å.
Space group P6/mmm (No. 191)
One atom of each set of equivalent atoms:
1 Na 0.3333 0.6667 0.0000 [2 per cell]  12 Hg 3.40, 2 Na 3.49
2 Ca 0.0000 0.0000 0.0000 [1 per cell]  12 Hg 3.42, 2 Ca 3.49
3 Hg 0.0000 0.3347 0.5000 [6 per cell]  3 Hg 2.90-2.94

The computed energies, referenced to the most stable structure and given in meV per atom, are model one 17; model two 0.

Model one:
The following is a DFT calculation (PBE) of crystalline NaCaSnHg at its relaxed geometry.

Cell lengths 7.5394, 7.5394, 7.5394 Å; angles 90.00, 90.00, 90.00 degrees
Last column: nearest neighbours and their distance in Å.
Space group F-43m (No. 216)
One atom of each set of equivalent atoms:
1 Na 0.0000 0.0000 0.0000 [4 per cell]  4 Sn 3.26, 4 Hg 3.26
2 Ca 0.0000 0.0000 0.5000 [4 per cell]  4 Hg 3.26, 4 Sn 3.26
3 Sn 0.2500 0.2500 0.2500 [4 per cell]  4 Ca 3.26, 4 Na 3.26
4 Hg 0.2500 0.2500 0.7500 [4 per cell]  4 Na 3.26, 4 Ca 3.26

Model two:
The following is a DFT calculation (PBE) of crystalline NaCaSnHg at its relaxed geometry.

Cell lengths 3.4122, 4.9742, 6.8018 Å; angles 90.00, 90.00, 90.00 degrees
Last column: nearest neighbours and their distance in Å.
Space group Pmm2 (No. 25)
One atom of each set of equivalent atoms:
1 Na 0.0000 0.0000 0.0000 [1 per cell]  2 Hg 3.06, 2 Sn 3.13, 2 Na 3.41
2 Ca 0.5000 0.0000 0.5118 [1 per cell]  4 Sn 3.33, 2 Ca 3.41, 4 Hg 3.46
3 Sn 0.0000 0.5000 0.7204 [1 per cell]  1 Hg 3.12, 2 Na 3.13, 4 Ca 3.33, 2 Sn 3.41
4 Hg 0.0000 0.5000 0.2620 [1 per cell]  2 Na 3.06, 1 Sn 3.12, 2 Hg 3.41

The computed energies, referenced to the most stable structure and given in meV per atom, are model one 0; model two 123.

Model one:
The following is a DFT calculation (PBE) of crystalline CaNdHg at its relaxed geometry.

Cell lengths 5.4547, 5.4547, 7.0131 Å; angles 90.00, 90.00, 120.00 degrees
Last column: nearest neighbours and their distance in Å.
Space group P6_3/mmc (No. 194)
One atom of each set of equivalent atoms:
1 Ca 0.0000 0.0000 0.0000 [2 per cell]  2 Ca 3.51, 6 Hg 3.60, 6 Nd 3.60
2 Nd 0.3333 0.6667 0.2500 [2 per cell]  5 Hg 3.15-3.51
3 Hg 0.3333 0.6667 0.7500 [2 per cell]  5 Nd 3.15-3.51

Model two:
The following is a DFT calculation (PBE) of crystalline CaNdHg at its relaxed geometry.

Cell lengths 7.4189, 7.4189, 7.4189 Å; angles 90.00, 90.00, 90.00 degrees
Last column: nearest neighbours and their distance in Å.
Space group F-43m (No. 216)
One atom of each set of equivalent atoms:
1 Ca 0.0000 0.0000 0.0000 [4 per cell]  4 Hg 3.21
2 Nd 0.0000 0.0000 0.5000 [4 per cell]  4 Hg 3.21
3 Hg 0.2500 0.2500 0.2500 [4 per cell]  4 Nd 3.21, 4 Ca 3.21

The computed energies, referenced to the most stable structure and given in meV per atom, are model one 0; model two 124.

Model one:
The following is a DFT calculation (PBE) of crystalline CaNdHg at its relaxed geometry.

Cell lengths 3.7348, 3.7348, 13.5967 Å; angles 90.00, 90.00, 90.00 degrees
Last column: nearest neighbours and their distance in Å.
Space group I4mm (No. 107)
One atom of each set of equivalent atoms:
1 Ca 0.0000 0.0000 0.0000 [2 per cell]  4 Hg 3.27
2 Nd 0.0000 0.0000 0.2835 [2 per cell]  4 Hg 3.27
3 Hg 0.0000 0.0000 0.6415 [2 per cell]  4 Ca 3.27, 4 Nd 3.27

Model two:
The following is a DFT calculation (PBE) of crystalline CaNdHg at its relaxed geometry.

Cell lengths 5.2663, 5.2663, 3.8855 Å; angles 90.00, 90.00, 120.00 degrees
Last column: nearest neighbours and their distance in Å.
Space group P3m1 (No. 156)
One atom of each set of equivalent atoms:
1 Ca 0.0000 0.0000 0.0000 [1 per cell]  3 Hg 3.20, 3 Nd 3.53
2 Nd 0.6667 0.3333 0.4641 [1 per cell]  3 Hg 3.23, 3 Ca 3.53
3 Hg 0.3333 0.6667 0.7451 [1 per cell]  3 Ca 3.20, 3 Nd 3.23

The computed energies, referenced to the most stable structure and given in meV per atom, are model one 0; model two 111.